Record 1
DFT (GGA-PBE) results for crystalline ZrBe2Ni2 at its relaxed geometry.

```
ZrBe2Ni2
1.0
-1.8569 1.8569 4.4256
1.8569 -1.8569 4.4256
1.8569 1.8569 -4.4256
Zr Ni Be
1 2 2
Cartesian
0.0000 0.0000 0.0000
0.0000 0.0000 3.2757
0.0000 0.0000 5.5755
0.0000 1.8569 2.2128
1.8569 0.0000 2.2128
```

Properties
ΔE to the lowest computed polymorph (meV per atom): 83

---

Record 2
DFT (GGA-PBE) results for crystalline NpBe at its relaxed geometry.

```
NpBe
1.0
-0.9612 -2.1753 3.1188
-1.3988 1.7206 3.2351
-3.7682 -0.4528 0.9890
Be Np
1 1
Cartesian
0.0000 0.0000 0.0000
-3.0641 -0.4538 3.6715
```

Properties
ΔE to the lowest computed polymorph (meV per atom): 739

---

Record 3
DFT (GGA-PBE) results for crystalline NpBe at its relaxed geometry.

```
NpBe
1.0
1.5737 -3.7508 1.2174
1.2835 -0.5637 4.0077
-2.2332 -2.4917 2.6137
Np Be
1 1
Cartesian
0.1560 -1.7015 1.9597
0.0000 0.0000 0.0000
```

Properties
ΔE to the lowest computed polymorph (meV per atom): 1582

---

Record 4
DFT (GGA-PBE) results for crystalline NpBe at its relaxed geometry.

```
NpBe
1.0
2.7516 0.0000 0.0000
-1.3758 2.3830 0.0000
0.0000 0.0000 4.8195
Be Np
1 1
Cartesian
1.3758 0.7943 3.6146
0.0000 1.5886 1.2049
```

Properties
ΔE to the lowest computed polymorph (meV per atom): 0

---

Record 5
DFT (GGA-PBE) results for crystalline NpBe13 at its relaxed geometry.

```
NpBe13
1.0
3.9870 -2.8153 -5.2979
0.8869 6.8907 1.9029
2.1567 -5.2633 4.4200
Be Np
26 2
Cartesian
2.0436 -3.5409 1.3708
0.6858 1.9317 0.6158
2.3560 1.5672 2.0664
4.6745 -2.7550 -1.0415
3.6417 2.9893 -2.0228
4.1287 0.7752 0.9729
4.8529 -6.9395 0.3938
2.0986 0.0739 0.4139
2.4550 1.4022 4.2774
4.9319 -1.2618 0.6111
4.2536 -3.3180 1.1932
1.9680 3.6163 1.2816
4.5755 -2.5901 -3.2524
6.3447 -3.1196 0.4092
0.8699 -1.7020 0.9630
3.3888 -4.1771 3.0478
3.0718 -4.0393 -0.4390
4.1001 -4.5377 -2.2487
1.2908 -1.1391 -1.2717
2.7769 2.1301 -0.1683
2.6873 -2.6800 -2.0468
5.2738 -6.3766 -1.8409
3.4564 -5.3986 1.1689
2.9018 -1.9630 0.0521
0.0000 0.0000 0.0000
5.0625 -4.8042 -0.2567
3.9728 0.0181 -1.9170
3.0577 -1.2059 2.9419
```

---

Record 6
DFT (GGA-PBE) results for crystalline NpBeOs at its relaxed geometry.

```
NpBeOs
1.0
0.0000 3.0556 3.0556
3.0556 0.0000 3.0556
3.0556 3.0556 0.0000
Np Be Os
1 1 1
Cartesian
0.0000 0.0000 0.0000
1.5278 1.5278 1.5278
4.5835 4.5835 4.5835
```

Properties
ΔE to the lowest computed polymorph (meV per atom): 773

---

Record 7
DFT (GGA-PBE) results for crystalline NpBeOs at its relaxed geometry.

```
NpBeOs
1.0
-3.3970 -2.2442 0.2647
-2.4956 0.4460 3.1967
-3.6493 1.7573 -0.4905
Be Np Os
1 1 1
Cartesian
0.0000 0.0000 0.0000
-2.3855 -0.0102 0.7427
-7.1564 -0.0307 2.2282
```

Properties
ΔE to the lowest computed polymorph (meV per atom): 0

---

Record 8
DFT (GGA-PBE) results for crystalline NpPaBe at its relaxed geometry.

```
NpPaBe
1.0
0.0000 3.1105 3.1105
3.1105 0.0000 3.1105
3.1105 3.1105 0.0000
Np Pa Be
1 1 1
Cartesian
1.5553 1.5553 1.5553
4.6658 4.6658 4.6658
0.0000 0.0000 0.0000
```

Properties
ΔE to the lowest computed polymorph (meV per atom): 0

---

Record 9
DFT (GGA-PBE) results for crystalline NpBePb at its relaxed geometry.

```
NpBePb
1.0
-2.1571 -2.0603 3.4908
-4.5799 0.1628 0.2858
-2.4832 -3.7886 -0.7507
Be Np Pb
1 1 1
Cartesian
0.0000 0.0000 0.0000
-2.3050 -1.4215 0.7565
-6.9151 -4.2646 2.2695
```

---

Record 10
DFT (GGA-PBE) results for crystalline NpBePt at its relaxed geometry.

```
NpBePt
1.0
4.2369 0.0978 0.6113
1.6153 -0.6731 3.9079
2.1255 -3.6200 0.8437
Be Pt Np
1 1 1
Cartesian
0.0000 0.0000 0.0000
5.9833 -3.1465 4.0222
1.9944 -1.0488 1.3407
```

Properties
ΔE to the lowest computed polymorph (meV per atom): 0

---

Record 11
DFT (GGA-PBE) results for crystalline NpBePt at its relaxed geometry.

```
NpBePt
1.0
-1.5380 -1.8428 3.7923
-0.2564 2.4582 3.7462
-4.0066 1.2112 1.6194
Pt Be Np
1 1 1
Cartesian
0.0000 0.0000 0.0000
-1.4502 0.4567 2.2895
-4.3507 1.3700 6.8684
```

Properties
ΔE to the lowest computed polymorph (meV per atom): 9

---

Record 12
DFT (GGA-PBE) results for crystalline NpBeSi at its relaxed geometry.

```
NpBeSi
1.0
3.0784 -1.0228 2.8081
-0.5319 -3.3353 2.6459
2.3123 -3.5707 -0.5578
Si Be Np
1 1 1
Cartesian
0.0000 0.0000 0.0000
1.2147 -1.9822 1.2241
3.6441 -5.9466 3.6722
```

---

Record-wise magnetization values, in μB/cell: 0.00, 5.27, 5.17, 2.74, 8.07, 2.92, 3.36, 3.61, 4.69, 4.01, 4.12, 4.53
Record-wise raw total energy values, in eV/atom: -5.733, -7.135, -6.291, -7.874, -4.470, -8.125, -8.898, -8.090, -6.320, -7.464, -7.454, -6.947